Record 1
Material: Ca4MgAg3
Method: DFT, GGA-PBE
State: optimized geometry

a = 10.6116 Å, b = 7.6162 Å, c = 5.3070 Å
α = 90.00°, β = 90.00°, γ = 90.00°
Closest atoms and distances in Å follow each position.
Atoms (fractional coordinates):
Ca1 0.0000 0.2406 0.0000  6 Ag 3.22-3.31, 2 Mg 3.31
Ca2 0.0000 0.7594 0.0000  6 Ag 3.22-3.31, 2 Mg 3.31
Ca3 0.2500 0.2406 0.4988  6 Ag 3.22-3.31, 2 Mg 3.31
Ca4 0.2500 0.7594 0.4988  6 Ag 3.22-3.31, 2 Mg 3.31
Ca5 0.5000 0.2406 0.0000  6 Ag 3.22-3.31, 2 Mg 3.31
Ca6 0.5000 0.7594 0.0000  6 Ag 3.22-3.31, 2 Mg 3.31
Ca7 0.7500 0.2406 0.5012  6 Ag 3.22-3.31, 2 Mg 3.31
Ca8 0.7500 0.7594 0.5012  6 Ag 3.22-3.31, 2 Mg 3.31
Mg1 0.0000 0.5000 0.5000  8 Ca 3.31
Mg2 0.5000 0.5000 0.5000  8 Ca 3.31
Ag1 0.0000 0.0000 0.5000  8 Ca 3.22
Ag2 0.2500 0.0000 0.9983  8 Ca 3.22-3.23
Ag3 0.2500 0.5000 0.9976  8 Ca 3.30-3.31
Ag4 0.5000 0.0000 0.5000  8 Ca 3.22
Ag5 0.7500 0.0000 0.0017  8 Ca 3.22-3.23
Ag6 0.7500 0.5000 0.0024  8 Ca 3.30-3.31

Output
Space group ... Pmma (51)
DOS(E_F) ... 13.6 states/eV/cell
Formation energy ... -236 meV/atom

***

Record 2
Material: CaMg6Ag4
Method: DFT, GGA-PBE
State: optimized geometry

a = 7.9662 Å, b = 7.9662 Å, c = 4.4045 Å
α = 90.00°, β = 90.00°, γ = 120.00°
Closest atoms and distances in Å follow each position.
Atoms (fractional coordinates):
Ca1 0.0000 0.0000 0.0000  6 Mg 3.53, 6 Ag 3.57
Mg1 0.0656 0.5328 0.0000  5 Ag 2.75-2.86
Mg2 0.4007 0.2003 0.5000  4 Ag 2.79-2.87
Mg3 0.4672 0.5328 0.0000  5 Ag 2.75-2.86
Mg4 0.4672 0.9344 0.0000  5 Ag 2.75-2.86
Mg5 0.7997 0.2003 0.5000  4 Ag 2.79-2.87
Mg6 0.7997 0.5993 0.5000  4 Ag 2.79-2.87
Ag1 0.2036 0.4072 0.5000  6 Mg 2.79-2.86, 2 Ag 3.10
Ag2 0.2036 0.7964 0.5000  6 Mg 2.79-2.86, 2 Ag 3.10
Ag3 0.5928 0.7964 0.5000  6 Mg 2.79-2.86, 2 Ag 3.10
Ag4 0.6667 0.3333 0.0000  9 Mg 2.75-2.87

Output
Space group ... P-6m2 (187)
DOS(E_F) ... 4.8 states/eV/cell
Formation energy ... -186 meV/atom

***

Record 3
Material: Ca3Mg2Ag4
Method: DFT, GGA-PBE
State: optimized geometry

a = 5.8192 Å, b = 5.8192 Å, c = 9.2093 Å
α = 95.54°, β = 95.54°, γ = 47.31°
Closest atoms and distances in Å follow each position.
Atoms (fractional coordinates):
Ca1 0.0000 0.0000 0.0000  6 Ag 3.16-3.35
Ca2 0.3722 0.3722 0.6108  6 Ag 3.07-3.33
Ca3 0.6278 0.6278 0.3892  6 Ag 3.07-3.33
Mg1 0.3207 0.3207 0.2202  5 Ag 2.80-2.83
Mg2 0.6793 0.6793 0.7798  5 Ag 2.80-2.83
Ag1 0.0806 0.0806 0.6352  2 Mg 2.83, 2 Ag 2.87-3.16, 1 Ca 3.14
Ag2 0.2795 0.2795 0.9150  3 Mg 2.80, 2 Ag 2.92, 1 Ca 3.07
Ag3 0.7205 0.7205 0.0850  3 Mg 2.80, 2 Ag 2.92, 1 Ca 3.07
Ag4 0.9194 0.9194 0.3648  2 Mg 2.83, 2 Ag 2.87-3.16, 1 Ca 3.14

Output
Space group ... C2/m (12)
DOS(E_F) ... 4.6 states/eV/cell
Formation energy ... -267 meV/atom

***

Record 4
Material: Ca2MgAg2
Method: DFT, GGA-PBE
State: optimized geometry

a = 7.8279 Å, b = 7.8279 Å, c = 4.2794 Å
α = 90.00°, β = 90.00°, γ = 90.00°
Closest atoms and distances in Å follow each position.
Atoms (fractional coordinates):
Ca1 0.1707 0.3293 0.0000  6 Ag 3.07-3.20
Ca2 0.3293 0.8293 0.0000  6 Ag 3.07-3.20
Ca3 0.6707 0.1707 0.0000  6 Ag 3.07-3.20
Ca4 0.8293 0.6707 0.0000  6 Ag 3.07-3.20
Mg1 0.0000 0.0000 0.5000  4 Ag 3.07
Mg2 0.5000 0.5000 0.5000  4 Ag 3.07
Ag1 0.1301 0.6301 0.5000  1 Ag 2.88, 2 Mg 3.07, 6 Ca 3.07-3.20
Ag2 0.3699 0.1301 0.5000  1 Ag 2.88, 2 Mg 3.07, 6 Ca 3.07-3.20
Ag3 0.6301 0.8699 0.5000  1 Ag 2.88, 2 Mg 3.07, 6 Ca 3.07-3.20
Ag4 0.8699 0.3699 0.5000  1 Ag 2.88, 2 Mg 3.07, 6 Ca 3.07-3.20

Output
Space group ... P4/mbm (127)
DOS(E_F) ... 7.3 states/eV/cell
Formation energy ... -286 meV/atom

***

Record 5
Material: Ca5MgAg
Method: DFT, GGA-PBE
State: optimized geometry

a = 6.2454 Å, b = 6.2454 Å, c = 12.9306 Å
α = 100.27°, β = 100.27°, γ = 82.02°
Closest atoms and distances in Å follow each position.
Atoms (fractional coordinates):
Ca1 0.0168 0.9832 0.7500  2 Ag 3.24, 1 Mg 3.36, 4 Ca 3.52-3.55
Ca2 0.0806 0.4317 0.6286  1 Ag 2.96
Ca3 0.2062 0.5195 0.9268  1 Ag 3.15, 1 Ca 3.51
Ca4 0.4317 0.0806 0.1286  1 Ag 2.96
Ca5 0.4805 0.7938 0.5732  1 Ag 3.15, 1 Ca 3.51
Ca6 0.5195 0.2062 0.4268  1 Ag 3.15, 1 Ca 3.51
Ca7 0.5683 0.9194 0.8714  1 Ag 2.96
Ca8 0.7938 0.4805 0.0732  1 Ag 3.15, 1 Ca 3.51
Ca9 0.9194 0.5683 0.3714  1 Ag 2.96
Ca10 0.9832 0.0168 0.2500  2 Ag 3.24, 1 Mg 3.36, 4 Ca 3.52-3.55
Mg1 0.3934 0.6066 0.2500  7 Ca 3.36-3.64
Mg2 0.6066 0.3934 0.7500  7 Ca 3.36-3.64
Ag1 0.0000 0.0000 0.0000  6 Ca 2.96-3.24
Ag2 0.0000 0.0000 0.5000  6 Ca 2.96-3.24

Output
Space group ... C2/c (15)
DOS(E_F) ... 12.0 states/eV/cell
Formation energy ... -28 meV/atom

***

Record 6
Material: CaMg7Ag5
Method: DFT, GGA-PBE
State: optimized geometry

a = 7.4981 Å, b = 7.4981 Å, c = 7.4981 Å
α = 135.50°, β = 97.68°, γ = 98.81°
Closest atoms and distances in Å follow each position.
Atoms (fractional coordinates):
Ca1 0.0000 0.0000 0.0000  10 Mg 3.29-3.60, 2 Ag 3.53
Mg1 0.2094 0.5032 0.7062  5 Ag 2.83-2.91, 3 Mg 3.03-3.16
Mg2 0.3330 0.9872 0.3459  5 Ag 2.91-3.05, 4 Mg 3.04-3.17
Mg3 0.3372 0.3372 0.0000  6 Ag 3.02-3.08, 3 Mg 3.05-3.32, 1 Ca 3.29
Mg4 0.6413 0.9872 0.6541  5 Ag 2.91-3.05, 4 Mg 3.04-3.17
Mg5 0.6502 0.6502 0.0000  4 Ag 2.96, 5 Mg 3.05-3.23
Mg6 0.7725 0.2725 0.5000  4 Ag 2.81, 4 Mg 3.03-3.08
Mg7 0.7969 0.5032 0.2938  5 Ag 2.83-2.91, 3 Mg 3.03-3.16
Ag1 0.2157 0.7157 0.5000  6 Mg 2.91-3.08, 4 Ag 2.92
Ag2 0.5038 0.9998 0.0069  7 Mg 2.81-3.05, 3 Ag 2.82-2.92
Ag3 0.5038 0.4969 0.5041  7 Mg 2.81-3.05, 3 Ag 2.82-2.92
Ag4 0.9928 0.9998 0.4959  7 Mg 2.81-3.05, 3 Ag 2.82-2.92
Ag5 0.9928 0.4969 0.9931  7 Mg 2.81-3.05, 3 Ag 2.82-2.92

Output
Space group ... Imm2 (44)
DOS(E_F) ... 6.2 states/eV/cell
Formation energy ... -190 meV/atom

***

Record 7
Material: Ca2MgAg
Method: DFT, GGA-PBE
State: optimized geometry

a = 9.5722 Å, b = 9.5722 Å, c = 9.5722 Å
α = 23.93°, β = 23.93°, γ = 23.93°
Closest atoms and distances in Å follow each position.
Atoms (fractional coordinates):
Ca1 0.2395 0.2395 0.2395  3 Ag 3.06
Ca2 0.7605 0.7605 0.7605  3 Ag 3.06
Mg1 0.0000 0.0000 0.0000  6 Ca 3.48
Ag1 0.5000 0.5000 0.5000  6 Ca 3.06

Output
Space group ... R-3m (166)
DOS(E_F) ... 3.3 states/eV/cell
Formation energy ... -25 meV/atom

***

Record 8
Material: Ca2Mg2Ag
Method: DFT, GGA-PBE
State: optimized geometry

a = 7.3936 Å, b = 7.3936 Å, c = 5.2497 Å
α = 90.00°, β = 90.00°, γ = 90.00°
Closest atoms and distances in Å follow each position.
Atoms (fractional coordinates):
Ca1 0.1743 0.3257 0.0000  6 Mg 3.26-3.52, 1 Ca 3.65
Ca2 0.3257 0.8257 0.0000  6 Mg 3.26-3.52, 1 Ca 3.65
Ca3 0.6743 0.1743 0.0000  6 Mg 3.26-3.52, 1 Ca 3.65
Ca4 0.8257 0.6743 0.0000  6 Mg 3.26-3.52, 1 Ca 3.65
Mg1 0.1405 0.6405 0.5000  2 Ag 2.85, 1 Mg 2.94
Mg2 0.3595 0.1405 0.5000  2 Ag 2.85, 1 Mg 2.94
Mg3 0.6405 0.8595 0.5000  2 Ag 2.85, 1 Mg 2.94
Mg4 0.8595 0.3595 0.5000  2 Ag 2.85, 1 Mg 2.94
Ag1 0.0000 0.0000 0.5000  4 Mg 2.85
Ag2 0.5000 0.5000 0.5000  4 Mg 2.85

Output
Space group ... P4/mbm (127)
DOS(E_F) ... 7.4 states/eV/cell
Formation energy ... -69 meV/atom